(w)
A plane-wave DFT calculation with PBE was carried out for a relaxed Ru2AuBr crystal.

Computed properties:
total magnetic moment	0.00	μB/f.u.

a = 4.838 Å, b = 4.838 Å, c = 5.758 Å
α = 90.00°, β = 90.00°, γ = 90.00°
Space group I-4m2 (No. 119)
Inequivalent atoms, fractional coordinates:
Ru (0.000, 0.000, 0.000) (multiplicity 2)
Ru (0.000, 0.500, 0.250) (multiplicity 2)
Au (0.000, 0.000, 0.500) (multiplicity 2)
Br (0.000, 0.500, 0.750) (multiplicity 2)

***

(x)
A plane-wave DFT calculation with PBE was carried out for a relaxed Ru2AuBr crystal.

Computed properties:
total magnetic moment	0.00	μB/f.u.

a = 2.927 Å, b = 4.940 Å, c = 9.212 Å
α = 90.00°, β = 90.00°, γ = 90.00°
Space group Immm (No. 71)
Inequivalent atoms, fractional coordinates:
Ru (0.000, 0.000, 0.230) (multiplicity 4)
Au (0.000, 0.500, 0.000) (multiplicity 2)
Br (0.000, 0.500, 0.500) (multiplicity 2)

***

(y)
A plane-wave DFT calculation with PBE was carried out for a relaxed Ru2AuBr crystal.

Computed properties:
total magnetic moment	3.02	μB/f.u.

a = 6.443 Å, b = 6.443 Å, c = 6.443 Å
α = 90.00°, β = 90.00°, γ = 90.00°
Space group Fm-3m (No. 225)
Inequivalent atoms, fractional coordinates:
Ru (0.250, 0.250, 0.250) (multiplicity 8)
Au (0.000, 0.000, 0.000) (multiplicity 4)
Br (0.000, 0.000, 0.500) (multiplicity 4)

***

Stability summary: most stable (x), least stable (w).

***

(w)
A plane-wave DFT calculation with PBE was carried out for a relaxed RuAuBr2 crystal.

Computed properties:
total magnetic moment	2.02	μB/f.u.

a = 6.668 Å, b = 8.410 Å, c = 3.305 Å
α = 90.00°, β = 90.77°, γ = 90.00°
Space group C2/m (No. 12)
Inequivalent atoms, fractional coordinates:
Ru (0.000, 0.000, 0.000) (multiplicity 2)
Au (0.000, 0.500, 0.000) (multiplicity 2)
Br (0.250, 0.250, 0.000) (multiplicity 4)

***

(x)
A plane-wave DFT calculation with PBE was carried out for a relaxed RuAuBr2 crystal.

Computed properties:
total magnetic moment	2.40	μB/f.u.

a = 3.119 Å, b = 3.119 Å, c = 9.817 Å
α = 90.00°, β = 90.00°, γ = 90.00°
Space group P4/mmm (No. 123)
Inequivalent atoms, fractional coordinates:
Ru (0.000, 0.000, 0.000) (multiplicity 1)
Au (0.000, 0.000, 0.500) (multiplicity 1)
Br (0.500, 0.500, 0.170) (multiplicity 2)

***

(y)
A plane-wave DFT calculation with PBE was carried out for a relaxed RuAuBr2 crystal.

Computed properties:
total magnetic moment	0.00	μB/f.u.

a = 2.9562 Å, b = 2.9562 Å, c = 36.5925 Å
α = 90.00°, β = 90.00°, γ = 120.00°
Space group R-3m (No. 166, hexagonal axes)
Inequivalent atoms, fractional coordinates:
Ru (0.0000, 0.0000, 0.0000) (multiplicity 3)
Au (0.0000, 0.0000, 0.5000) (multiplicity 3)
Br (0.0000, 0.0000, 0.0649) (multiplicity 6)

***

Stability summary: most stable (y), least stable (w).

***

(w)
A plane-wave DFT calculation with PBE was carried out for a relaxed RuAu2Br crystal.

Computed properties:
total magnetic moment	1.15	μB/f.u.

a = 3.095 Å, b = 5.338 Å, c = 4.564 Å
α = 90.00°, β = 91.22°, γ = 90.00°
Space group P2/m (No. 10)
Inequivalent atoms, fractional coordinates:
Ru (0.000, 0.000, 0.000) (multiplicity 1)
Au (0.246, 0.500, 0.756) (multiplicity 2)
Br (0.500, 0.000, 0.500) (multiplicity 1)

***

(x)
A plane-wave DFT calculation with PBE was carried out for a relaxed RuAu2Br crystal.

Computed properties:
total magnetic moment	1.18	μB/f.u.

a = 5.460 Å, b = 9.600 Å, c = 2.841 Å
α = 90.00°, β = 90.00°, γ = 90.00°
Space group Cmmm (No. 65)
Inequivalent atoms, fractional coordinates:
Ru (0.000, 0.000, 0.000) (multiplicity 2)
Au (0.250, 0.250, 0.500) (multiplicity 4)
Br (0.000, 0.500, 0.000) (multiplicity 2)

***

Stability summary: most stable (w), least stable (x).

***

(w)
A plane-wave DFT calculation with PBE was carried out for a relaxed RuAu2Br crystal.

Computed properties:
total magnetic moment	1.06	μB/f.u.

a = 5.446 Å, b = 11.122 Å, c = 3.021 Å
α = 90.00°, β = 123.46°, γ = 90.00°
Space group C2/m (No. 12)
Inequivalent atoms, fractional coordinates:
Ru (0.000, 0.000, 0.000) (multiplicity 2)
Au (0.250, 0.250, 0.500) (multiplicity 4)
Br (0.000, 0.500, 0.000) (multiplicity 2)

***

(x)
A plane-wave DFT calculation with PBE was carried out for a relaxed RuAu2Br crystal.

Computed properties:
total magnetic moment	0.88	μB/f.u.

a = 2.916 Å, b = 4.378 Å, c = 12.314 Å
α = 90.00°, β = 90.00°, γ = 90.00°
Space group Immm (No. 71)
Inequivalent atoms, fractional coordinates:
Ru (0.000, 0.000, 0.000) (multiplicity 2)
Au (0.000, 0.500, 0.300) (multiplicity 4)
Br (0.000, 0.000, 0.500) (multiplicity 2)

***

(y)
A plane-wave DFT calculation with PBE was carried out for a relaxed RuAu2Br crystal.

Computed properties:
total magnetic moment	1.25	μB/f.u.

a = 9.040 Å, b = 3.145 Å, c = 6.683 Å
α = 90.00°, β = 102.47°, γ = 90.00°
Space group Cm (No. 8)
Inequivalent atoms, fractional coordinates:
Ru (0.000, 0.000, 0.000) (multiplicity 2)
Au (0.004, 0.500, 0.344) (multiplicity 2)
Au (0.246, 0.500, 0.145) (multiplicity 2)
Br (0.413, 0.000, 0.713) (multiplicity 2)

***

(z)
A plane-wave DFT calculation with PBE was carried out for a relaxed RuAu2Br crystal.

Computed properties:
total magnetic moment	1.47	μB/f.u.

a = 2.9378 Å, b = 2.9378 Å, c = 30.7916 Å
α = 90.00°, β = 90.00°, γ = 120.00°
Space group R-3m (No. 166, hexagonal axes)
Inequivalent atoms, fractional coordinates:
Ru (0.0000, 0.0000, 0.0000) (multiplicity 3)
Au (0.0000, 0.0000, 0.2598) (multiplicity 6)
Br (0.0000, 0.0000, 0.5000) (multiplicity 3)

***

Stability summary: most stable (y), least stable (w).